The following is a DFT calculation (PBE) of crystalline Cs2Cd12Hg7 at its relaxed geometry.

Results
**Formation energy from the elements**: -0.06 eV per atom
**Fermi-level density of states**: 8.0 states/eV per cell

Unit cell a=11.6560 b=11.6560 c=5.0388 alpha=90.00 beta=90.00 gamma=120.00
Atoms (fractional coordinates):
Cs (0.3333, 0.6667, 0.2330)
Cs (0.6667, 0.3333, 0.7670)
Cd (0.0456, 0.4334, 0.7720)
Cd (0.1242, 0.2485, 0.1949)
Cd (0.1243, 0.8758, 0.1949)
Cd (0.2485, 0.1243, 0.8051)
Cd (0.3879, 0.9544, 0.7720)
Cd (0.4334, 0.3879, 0.2280)
Cd (0.5666, 0.6121, 0.7720)
Cd (0.6121, 0.0456, 0.2280)
Cd (0.7515, 0.8757, 0.1949)
Cd (0.8757, 0.1242, 0.8051)
Cd (0.8758, 0.7515, 0.8051)
Cd (0.9544, 0.5666, 0.2280)
Hg (0.0000, 0.0000, 0.5000)
Hg (0.1168, 0.7208, 0.7031)
Hg (0.2792, 0.3960, 0.7031)
Hg (0.3960, 0.1168, 0.2969)
Hg (0.6040, 0.8832, 0.7031)
Hg (0.7208, 0.6040, 0.2969)
Hg (0.8832, 0.2792, 0.2969)


The following is a DFT calculation (PBE) of crystalline Cs4Cd3Hg2 at its relaxed geometry.

Results
**Formation energy from the elements**: -0.12 eV per atom
**Fermi-level density of states**: 5.7 states/eV per cell

Unit cell a=10.3952 b=10.3952 c=9.3214 alpha=108.52 beta=108.52 gamma=27.50
Atoms (fractional coordinates):
Cs (0.0726, 0.0726, 0.3778)
Cs (0.2636, 0.2636, 0.8041)
Cs (0.7364, 0.7364, 0.1959)
Cs (0.9274, 0.9274, 0.6222)
Cd (0.4029, 0.4029, 0.2277)
Cd (0.5000, 0.5000, 0.0000)
Cd (0.5971, 0.5971, 0.7723)
Hg (0.0895, 0.0895, 0.9626)
Hg (0.9105, 0.9105, 0.0374)


The following is a DFT calculation (PBE) of crystalline CsCd2Hg2 at its relaxed geometry.

Results
**Formation energy from the elements**: -0.05 eV per atom
**Polymorph energy (0 for the lowest one)**: 97 meV per atom
**Fermi-level density of states**: 5.7 states/eV per cell

Unit cell a=9.4387 b=9.4387 c=3.6262 alpha=90.00 beta=90.00 gamma=90.00
Atoms (fractional coordinates):
Cs (0.0000, 0.0000, 0.0000)
Cs (0.5000, 0.5000, 0.0000)
Cd (0.1459, 0.3541, 0.5000)
Cd (0.3541, 0.8541, 0.5000)
Cd (0.6459, 0.1459, 0.5000)
Cd (0.8541, 0.6459, 0.5000)
Hg (0.1400, 0.6400, 0.0000)
Hg (0.3600, 0.1400, 0.0000)
Hg (0.6400, 0.8600, 0.0000)
Hg (0.8600, 0.3600, 0.0000)


The following is a DFT calculation (PBE) of crystalline Cs2CdHg6 at its relaxed geometry.

Results
**Formation energy from the elements**: -0.23 eV per atom
**Polymorph energy (0 for the lowest one)**: 0 meV per atom
**Fermi-level density of states**: 3.6 states/eV per cell

Unit cell a=7.4149 b=7.4149 c=6.6704 alpha=90.01 beta=90.01 gamma=60.00
Atoms (fractional coordinates):
Cs (0.1667, 0.1667, 0.1627)
Cs (0.8333, 0.8333, 0.8373)
Cd (0.5000, 0.5000, 0.0000)
Hg (0.1461, 0.6782, 0.3322)
Hg (0.3223, 0.3223, 0.6718)
Hg (0.3218, 0.8539, 0.6678)
Hg (0.6782, 0.1461, 0.3322)
Hg (0.6777, 0.6777, 0.3282)
Hg (0.8539, 0.3218, 0.6678)


The following is a DFT calculation (PBE) of crystalline Cs3CdHg at its relaxed geometry.

Results
**Formation energy from the elements**: -0.11 eV per atom
**Polymorph energy (0 for the lowest one)**: 0 meV per atom
**Fermi-level density of states**: 14.1 states/eV per cell

Unit cell a=12.5043 b=9.6776 c=11.5380 alpha=90.00 beta=111.48 gamma=90.00
Atoms (fractional coordinates):
Cs (0.0601, 0.0009, 0.2137)
Cs (0.0601, 0.4991, 0.7137)
Cs (0.2992, 0.6618, 0.1258)
Cs (0.2992, 0.8382, 0.6258)
Cs (0.3441, 0.1770, 0.0141)
Cs (0.3441, 0.3230, 0.5141)
Cs (0.6559, 0.6770, 0.4859)
Cs (0.6559, 0.8230, 0.9859)
Cs (0.7008, 0.1618, 0.3742)
Cs (0.7008, 0.3382, 0.8742)
Cs (0.9399, 0.5009, 0.2863)
Cs (0.9399, 0.9991, 0.7863)
Cd (0.0502, 0.1414, 0.5289)
Cd (0.0502, 0.3586, 0.0289)
Cd (0.9498, 0.6414, 0.9711)
Cd (0.9498, 0.8586, 0.4711)
Hg (0.4134, 0.5213, 0.8643)
Hg (0.4134, 0.9787, 0.3643)
Hg (0.5866, 0.0213, 0.6357)
Hg (0.5866, 0.4787, 0.1357)


The following is a DFT calculation (PBE) of crystalline CsCd6Hg4 at its relaxed geometry.

Results
**Formation energy from the elements**: -0.06 eV per atom
**Fermi-level density of states**: 3.1 states/eV per cell

Unit cell a=8.3456 b=8.3456 c=5.0086 alpha=90.00 beta=90.00 gamma=120.00
Atoms (fractional coordinates):
Cs (0.0000, 0.0000, 0.0000)
Cd (0.2073, 0.4146, 0.5000)
Cd (0.2073, 0.7927, 0.5000)
Cd (0.5403, 0.0806, 0.0000)
Cd (0.5403, 0.4597, 0.0000)
Cd (0.5854, 0.7927, 0.5000)
Cd (0.9194, 0.4597, 0.0000)
Hg (0.3333, 0.6667, 0.0000)
Hg (0.3985, 0.1992, 0.5000)
Hg (0.8008, 0.1992, 0.5000)
Hg (0.8008, 0.6015, 0.5000)


- What is the Fermi-level density of states in the fifth record?
  14.1 states/eV per cell


- Number 5 is which compound?
  Cs3CdHg


Please write out number 2 again, unchanged.
The following is a DFT calculation (PBE) of crystalline Cs4Cd3Hg2 at its relaxed geometry.

Results
**Formation energy from the elements**: -0.12 eV per atom
**Fermi-level density of states**: 5.7 states/eV per cell

Unit cell a=10.3952 b=10.3952 c=9.3214 alpha=108.52 beta=108.52 gamma=27.50
Atoms (fractional coordinates):
Cs (0.0726, 0.0726, 0.3778)
Cs (0.2636, 0.2636, 0.8041)
Cs (0.7364, 0.7364, 0.1959)
Cs (0.9274, 0.9274, 0.6222)
Cd (0.4029, 0.4029, 0.2277)
Cd (0.5000, 0.5000, 0.0000)
Cd (0.5971, 0.5971, 0.7723)
Hg (0.0895, 0.0895, 0.9626)
Hg (0.9105, 0.9105, 0.0374)